Entry from the Alexandria database: an optimized crystal structure of RbSb3Pb3 (PBE).

Results
Raw formation energy (eV/atom): 0.016
Total magnetic moment (μB/f.u.): 0.00
Uncorrected energy (eV per atom): -3.48

a = 8.671 Å, b = 8.671 Å, c = 8.671 Å
α = 90.00°, β = 90.00°, γ = 90.00°
Atoms (fractional coordinates):
Pb: 0.500 0.250 0.000
Pb: 0.000 0.500 0.250
Pb: 0.750 0.000 0.500
Pb: 0.500 0.750 0.000
Pb: 0.250 0.000 0.500
Pb: 0.000 0.500 0.750
Rb: 0.000 0.000 0.000
Rb: 0.500 0.500 0.500
Sb: 0.250 0.500 0.000
Sb: 0.750 0.500 0.000
Sb: 0.500 0.000 0.750
Sb: 0.500 0.000 0.250
Sb: 0.000 0.250 0.500
Sb: 0.000 0.750 0.500